PmVGeO6 | PBE+U | relaxed

Calculated values
* SG: P-31c, No. 163
* VASP energy: -0.2731 hartree per atom

```
data_PmVGeO6
_chemical_formula_sum 'Pm2 V2 Ge2 O12'
_space_group_name_H-M_alt 'P 1'
_space_group_IT_number 1
_space_group_name_Hall 'P 1'
_cell_length_a 5.038
_cell_length_b 5.038
_cell_length_c 10.125
_cell_angle_alpha 90.00
_cell_angle_beta 90.00
_cell_angle_gamma 120.00
loop_
_atom_site_label
_atom_site_fract_x
_atom_site_fract_y
_atom_site_fract_z
Pm1 0.000 0.000 0.000
Pm2 0.000 0.000 0.500
V1 0.333 0.667 0.250
V2 0.667 0.333 0.750
Ge1 0.667 0.333 0.250
Ge2 0.333 0.667 0.750
O1 0.624 0.625 0.145
O2 0.001 0.376 0.145
O3 0.376 0.001 0.645
O4 0.999 0.624 0.855
O5 0.375 0.376 0.355
O6 0.001 0.625 0.355
O7 0.625 0.001 0.855
O8 0.624 0.999 0.355
O9 0.999 0.375 0.645
O10 0.375 0.999 0.145
O11 0.625 0.624 0.645
O12 0.376 0.375 0.855
```

=====

PmGe2WO8 | PBE+U | relaxed

Calculated values
* SG: I-4m2, No. 119
* VASP energy: -0.2613 hartree per atom

```
data_PmGe2WO8
_chemical_formula_sum 'Pm1 Ge2 W1 O8'
_space_group_name_H-M_alt 'P 1'
_space_group_IT_number 1
_space_group_name_Hall 'P 1'
_cell_length_a 5.854
_cell_length_b 5.854
_cell_length_c 5.854
_cell_angle_alpha 106.61
_cell_angle_beta 106.61
_cell_angle_gamma 115.35
loop_
_atom_site_label
_atom_site_fract_x
_atom_site_fract_y
_atom_site_fract_z
Pm1 0.250 0.750 0.500
Ge1 0.750 0.250 0.500
Ge2 0.500 0.500 0.000
W1 0.000 0.000 0.000
O1 0.374 0.070 0.304
O2 0.290 0.459 0.169
O3 0.290 0.121 0.831
O4 0.766 0.070 0.696
O5 0.879 0.710 0.169
O6 0.930 0.234 0.304
O7 0.930 0.626 0.696
O8 0.541 0.710 0.831
```